A plane-wave DFT calculation with PBE-GGA was carried out for TbDy2Th after structural relaxation.

Structure (POSCAR):
```
TbDy2Th
1.0
1.7828 1.0293 11.5823
-1.7828 1.0293 11.5823
0.0000 -2.0586 11.5823
Tb Dy Th
1 2 1
Direct
0.0000 0.0000 0.0000
0.4163 0.4163 0.4163
0.5837 0.5837 0.5837
0.8341 0.8341 0.8341
```

Properties
Formation energy ... 33 meV/atom
Distance to the lowest polymorph of the same formula ... 0.033 eV per formula unit
N(E_F) ... 1.3773 states/eV per atom
V ... 127.5 Å³ per cell
Raw total energy ... -21.1 eV/cell
Total moment ... 0.00 μB/f.u.

=====

A plane-wave DFT calculation with PBE-GGA was carried out for BaSmNi2P2 after structural relaxation.

Structure (POSCAR):
```
BaSmNi2P2
1.0
3.9795 0.0000 0.0000
-1.9897 3.4463 0.0000
0.0000 0.0000 8.7657
Ba Sm Ni P
1 1 2 2
Direct
0.0000 0.0000 0.0000
0.0000 0.0000 0.5000
0.3333 0.6667 0.7245
0.6667 0.3333 0.2755
0.3333 0.6667 0.2786
0.6667 0.3333 0.7214
```

Properties
Formation energy ... -978 meV/atom
N(E_F) ... 0.3557 states/eV per atom
V ... 120.2 Å³ per cell
Raw total energy ... -34.9 eV/cell
Total moment ... 0.00 μB/f.u.

=====

Which formula does entry 1 have? TbDy2Th